A plane-wave DFT calculation with PBE+U was carried out for crystalline CoBiNO at its relaxed geometry.

Calculated values
Electronic total energy   -46.44 eV/cell
ΔE to the lowest computed polymorph   0.0 meV/atom

Structure (POSCAR):
```
CoBiNO
1.0
-1.6980 -2.9410 0.0000
0.0000 0.0000 5.3176
-6.1589 3.5559 0.0000
Bi Co N O
2 2 2 2
Cartesian
-1.9331 -0.8446 5.3005
-5.9239 1.4595 2.6417
-2.3906 1.3802 2.6543
-3.7684 2.1757 5.3131
-2.1539 1.2435 4.6621
-4.0051 2.3123 2.0033
-2.5083 -0.5125 2.0277
-5.3486 1.1274 4.6865
```